[1]
Entry from the Alexandria database: Ac2CeAu after structural relaxation (PBE).

abc: 3.893 3.893 8.974
angles: 90.00 90.00 90.00
Each line ends with the local moment (μB).
Fractional positions:
Au: 0.500 0.500 0.000  0.00
Ce: 0.500 0.500 0.500  0.88
Ac: 0.000 0.000 0.786  0.03
Ac: 0.000 0.000 0.214  0.03

* size of the total moment: 1.31 μB per cell
* symmetry: P4/mmm (123)
* ΔE to the lowest computed polymorph: 0.000 eV per atom
* N(E_F): 2.0250 states/eV/atom

=====

[2]
Entry from the Alexandria database: AcCe2Au2 after structural relaxation (PBE).

abc: 4.785 8.283 7.658
angles: 79.62 108.20 90.00
Fractional positions:
Ce: 0.961 0.346 0.421
Au: 0.613 0.462 0.727
Ce: 0.039 0.654 0.579
Ce: 0.460 0.846 0.421
Ac: 0.250 0.250 0.000
Au: 0.114 0.962 0.727
Au: 0.886 0.038 0.273
Au: 0.387 0.538 0.273
Ac: 0.750 0.750 0.000
Ce: 0.540 0.154 0.579

* size of the total moment: 0.00 μB per cell
* symmetry: R-3m (166)
* N(E_F): 1.9070 states/eV/atom
* VASP energy: -50.24 eV per cell